PBE-GGA Pr2Nd3Tl3, optimized geometry; space-group type = Immm; DFT formation energy = -215 kJ/mol of formula units; electronic total energy = -4.15 eV/atom
1.0
4.560 0.000 0.000
0.000 5.103 0.000
-2.280 -2.551 10.678
Nd Tl Pr
3 3 2
Direct
0.500 0.000 0.000 Nd
0.618 0.618 0.236 Nd
0.382 0.382 0.764 Nd
0.125 0.125 0.250 Tl
0.875 0.875 0.750 Tl
0.000 0.500 0.000 Tl
0.737 0.237 0.473 Pr
0.263 0.763 0.527 Pr



PBE-GGA PrNd2Tl2, optimized geometry; space-group type = C2/m; DFT formation energy = -81 kJ/mol of formula units; electronic total energy = -3.98 eV/atom
1.0
-4.564 -0.036 -1.364
0.045 -4.764 -0.025
0.178 2.333 7.623
Nd Tl Pr
2 2 1
Direct
0.250 0.750 0.500 Nd
0.750 0.250 0.500 Nd
0.401 0.401 0.804 Tl
0.599 0.599 0.196 Tl
0.000 0.000 0.000 Pr



PBE-GGA Pr4Nd3Tl4, optimized geometry; space-group type = Immm; DFT formation energy = -276 kJ/mol of formula units; electronic total energy = -4.16 eV/atom
1.0
-0.375 1.389 3.507
6.714 -6.158 3.157
3.838 9.055 -5.224
Pr Nd Tl
4 3 4
Direct
0.337 0.159 0.673 Pr
0.337 0.515 0.673 Pr
0.663 0.841 0.327 Pr
0.663 0.485 0.327 Pr
0.000 0.500 0.000 Nd
0.905 0.905 0.810 Nd
0.095 0.095 0.190 Nd
0.500 0.779 0.000 Tl
0.727 0.227 0.454 Tl
0.500 0.221 0.000 Tl
0.273 0.773 0.546 Tl



PBE-GGA Pr4NdTl4, optimized geometry; space-group type = P4_2/n; DFT formation energy = -180 kJ/mol of formula units; electronic total energy = -3.91 eV/atom
1.0
6.366 0.000 0.000
0.000 9.435 0.000
0.000 0.000 9.435
Pr Tl Nd
8 8 2
Direct
0.871 0.669 0.925 Pr
0.629 0.169 0.425 Pr
0.129 0.075 0.669 Pr
0.129 0.925 0.331 Pr
0.871 0.331 0.075 Pr
0.629 0.831 0.575 Pr
0.371 0.425 0.831 Pr
0.371 0.575 0.169 Pr
0.884 0.602 0.294 Tl
0.884 0.398 0.706 Tl
0.116 0.706 0.602 Tl
0.616 0.898 0.206 Tl
0.384 0.794 0.898 Tl
0.384 0.206 0.102 Tl
0.116 0.294 0.398 Tl
0.616 0.102 0.794 Tl
0.500 0.500 0.500 Nd
0.000 0.000 0.000 Nd



PBE-GGA Pr2Nd4Tl, optimized geometry; space-group type = C2/m; DFT formation energy = -4 kJ/mol of formula units; electronic total energy = -4.43 eV/atom
1.0
3.606 0.000 0.000
0.000 8.826 0.232
-1.803 -4.094 7.517
Pr Nd Tl
2 4 1
Direct
0.782 0.857 0.564 Pr
0.218 0.143 0.436 Pr
0.922 0.294 0.845 Nd
0.634 0.399 0.267 Nd
0.366 0.601 0.733 Nd
0.078 0.706 0.155 Nd
0.000 0.000 0.000 Tl



PBE-GGA PrNdTl2, optimized geometry; space-group type = Fm-3m; DFT formation energy = -150 kJ/mol of formula units; electronic total energy = -3.96 eV/atom
1.0
-1.625 4.772 2.307
-5.067 1.996 -1.038
-3.856 -0.018 3.983
Tl Nd Pr
2 1 1
Direct
0.750 0.750 0.750 Tl
0.250 0.250 0.250 Tl
0.000 0.000 0.000 Nd
0.500 0.500 0.500 Pr



PBE-GGA Pr4Nd9Tl11, optimized geometry; space-group type = Cmmm; DFT formation energy = -741 kJ/mol of formula units; electronic total energy = -3.99 eV/atom
1.0
3.684 0.000 0.000
0.000 13.477 -5.285
0.000 0.437 14.470
Pr Nd Tl
4 9 11
Direct
0.500 0.586 0.751 Pr
0.500 0.751 0.586 Pr
0.500 0.249 0.414 Pr
0.500 0.414 0.249 Pr
0.500 0.204 0.015 Nd
0.500 0.612 0.159 Nd
0.500 0.015 0.204 Nd
0.500 0.159 0.612 Nd
0.500 0.388 0.841 Nd
0.500 0.841 0.388 Nd
0.500 0.985 0.796 Nd
0.500 0.500 0.500 Nd
0.500 0.796 0.985 Nd
0.000 0.813 0.187 Tl
0.000 0.210 0.210 Tl
0.000 0.590 0.954 Tl
0.000 0.954 0.590 Tl
0.000 0.000 0.000 Tl
0.000 0.377 0.623 Tl
0.000 0.187 0.813 Tl
0.000 0.790 0.790 Tl
0.000 0.410 0.046 Tl
0.000 0.046 0.410 Tl
0.000 0.623 0.377 Tl



PBE-GGA PrNdTl2, optimized geometry; space-group type = P4/mmm; DFT formation energy = -153 kJ/mol of formula units; electronic total energy = -3.97 eV/atom
1.0
3.923 0.000 0.000
0.000 3.923 0.000
0.000 0.000 7.828
Nd Tl Pr
1 2 1
Direct
0.500 0.500 0.000 Nd
0.000 0.000 0.753 Tl
0.000 0.000 0.247 Tl
0.500 0.500 0.500 Pr



PBE-GGA Pr3Nd2Tl3, optimized geometry; space-group type = Immm; DFT formation energy = -217 kJ/mol of formula units; electronic total energy = -4.15 eV/atom
1.0
4.555 0.000 0.000
0.000 5.126 0.000
-2.278 -2.563 10.725
Tl Pr Nd
3 3 2
Direct
0.127 0.127 0.253 Tl
0.873 0.873 0.747 Tl
0.000 0.500 0.000 Tl
0.381 0.381 0.762 Pr
0.500 0.000 0.000 Pr
0.619 0.619 0.238 Pr
0.736 0.236 0.473 Nd
0.264 0.764 0.527 Nd



PBE-GGA Pr9NdTl2, optimized geometry; space-group type = P4/mmm; DFT formation energy = -147 kJ/mol of formula units; electronic total energy = -4.50 eV/atom
1.0
5.061 0.000 0.000
0.000 5.061 0.000
0.000 0.000 15.606
Nd Pr Tl
1 9 2
Direct
0.000 0.000 0.000 Nd
0.000 0.500 0.500 Pr
0.500 0.500 0.661 Pr
0.500 0.500 0.000 Pr
0.000 0.500 0.825 Pr
0.500 0.500 0.339 Pr
0.500 0.000 0.825 Pr
0.500 0.000 0.500 Pr
0.000 0.500 0.175 Pr
0.500 0.000 0.175 Pr
0.000 0.000 0.661 Tl
0.000 0.000 0.339 Tl



PBE-GGA PrNd2Tl2, optimized geometry; space-group type = P6_3/mmc; DFT formation energy = -28 kJ/mol of formula units; electronic total energy = -3.87 eV/atom
1.0
-3.281 -4.179 -0.051
4.149 0.161 -3.316
7.485 -5.987 9.074
Nd Pr Tl
4 2 4
Direct
0.333 0.667 0.250 Nd
0.667 0.333 0.750 Nd
0.000 0.000 0.500 Nd
0.000 0.000 0.000 Nd
0.000 0.000 0.750 Pr
0.000 0.000 0.250 Pr
0.667 0.333 0.128 Tl
0.667 0.333 0.372 Tl
0.333 0.667 0.628 Tl
0.333 0.667 0.872 Tl



PBE-GGA PrNd14Tl, optimized geometry; space-group type = Amm2; DFT formation energy = -35 kJ/mol of formula units; electronic total energy = -4.64 eV/atom
1.0
7.216 0.968 0.000
-0.969 7.216 0.000
0.000 0.000 10.332
Nd Pr Tl
14 1 1
Direct
0.375 0.625 0.500 Nd
0.128 0.872 0.755 Nd
0.128 0.378 0.246 Nd
0.876 0.626 0.500 Nd
0.376 0.127 0.000 Nd
0.873 0.624 0.000 Nd
0.623 0.377 0.753 Nd
0.622 0.872 0.246 Nd
0.623 0.377 0.247 Nd
0.374 0.124 0.500 Nd
0.128 0.378 0.754 Nd
0.622 0.872 0.754 Nd
0.875 0.125 0.500 Nd
0.128 0.872 0.245 Nd
0.875 0.125 0.000 Pr
0.375 0.625 0.000 Tl